Compound: ScMnSe2Br
Source: Alexandria
Functional: PBE-GGA
Structure: optimized geometry

a = 4.9631 Å, b = 4.9631 Å, c = 4.8493 Å
α = 90.00°, β = 90.00°, γ = 90.00°
Space group P4/mmm (No. 123)
Symmetry-distinct sites (fractional):
Sc1 0.0000 0.0000 0.0000 [1 per cell]
Mn1 0.5000 0.5000 0.5000 [1 per cell]
Se1 0.0000 0.5000 0.5000 [2 per cell]
Br1 0.5000 0.5000 0.0000 [1 per cell]

Values from the calculation:
For the distance to the lowest polymorph of the same formula, the calculation gives 84 meV per atom. The uncorrected formation energy comes out at -0.340 eV/atom. The value obtained for the mass density is 4.695 Mg/m³.

Compound: ScMnSe2Br
Source: Alexandria
Functional: PBE-GGA
Structure: optimized geometry

a = 5.2063 Å, b = 5.2063 Å, c = 5.1196 Å
α = 90.00°, β = 90.00°, γ = 90.00°
Space group P4/mmm (No. 123)
Symmetry-distinct sites (fractional):
Sc1 0.0000 0.0000 0.0000 [1 per cell]
Mn1 0.5000 0.5000 0.5000 [1 per cell]
Se1 0.0000 0.5000 0.0000 [2 per cell]
Br1 0.0000 0.0000 0.5000 [1 per cell]

Values from the calculation:
For the distance to the lowest polymorph of the same formula, the calculation gives 0 meV per atom. The uncorrected formation energy comes out at -0.424 eV/atom. The value obtained for the mass density is 4.041 Mg/m³.

Compound: ScMn2TcBr
Source: Alexandria
Functional: PBE-GGA
Structure: optimized geometry

a = 5.1861 Å, b = 5.1861 Å, c = 4.5503 Å
α = 90.00°, β = 90.00°, γ = 90.00°
Space group P4/mmm (No. 123)
Symmetry-distinct sites (fractional):
Sc1 0.0000 0.0000 0.0000 [1 per cell]
Mn1 0.0000 0.5000 0.0000 [2 per cell]
Tc1 0.0000 0.0000 0.5000 [1 per cell]
Br1 0.5000 0.5000 0.5000 [1 per cell]

Values from the calculation:
The uncorrected formation energy comes out at 1.490 eV/atom. The value obtained for the mass density is 4.515 Mg/m³.

Compound: ScMnV2Br
Source: Alexandria
Functional: PBE-GGA
Structure: optimized geometry

a = 4.3311 Å, b = 4.3311 Å, c = 5.2301 Å
α = 90.00°, β = 90.00°, γ = 90.00°
Space group P4/mmm (No. 123)
Symmetry-distinct sites (fractional):
Sc1 0.0000 0.0000 0.0000 [1 per cell]
Mn1 0.5000 0.5000 0.5000 [1 per cell]
V1 0.0000 0.5000 0.5000 [2 per cell]
Br1 0.5000 0.5000 0.0000 [1 per cell]

Values from the calculation:
The uncorrected formation energy comes out at 0.783 eV/atom. The value obtained for the mass density is 4.768 Mg/m³.

Compound: Mn2SeBr
Source: Alexandria
Functional: PBE-GGA
Structure: optimized geometry

a = 3.5345 Å, b = 3.6494 Å, c = 13.4370 Å
α = 90.00°, β = 90.00°, γ = 90.00°
Space group Imm2 (No. 44)
Symmetry-distinct sites (fractional):
Mn1 0.0000 0.0000 0.0000 [2 per cell]
Mn2 0.0000 0.5000 0.3201 [2 per cell]
Se1 0.0000 0.5000 0.8546 [2 per cell]
Br1 0.0000 0.0000 0.6019 [2 per cell]

Values from the calculation:
For the distance to the lowest polymorph of the same formula, the calculation gives 49 meV per atom. The uncorrected formation energy comes out at -0.149 eV/atom. The value obtained for the mass density is 5.150 Mg/m³.

Compound: MnSeBr2
Source: Alexandria
Functional: PBE-GGA
Structure: optimized geometry

a = 7.1897 Å, b = 7.1897 Å, c = 7.1897 Å
α = 90.00°, β = 90.00°, γ = 90.00°
Space group Fm-3m (No. 225)
Symmetry-distinct sites (fractional):
Mn1 0.0000 0.0000 0.0000 [4 per cell]
Se1 0.0000 0.0000 0.5000 [4 per cell]
Br1 0.2500 0.2500 0.2500 [8 per cell]

Values from the calculation:
For the distance to the lowest polymorph of the same formula, the calculation gives 784 meV per atom. The uncorrected formation energy comes out at 0.390 eV/atom. The value obtained for the mass density is 5.249 Mg/m³.

Compound: Mn2SeBr
Source: Alexandria
Functional: PBE-GGA
Structure: optimized geometry

a = 7.6506 Å, b = 3.6596 Å, c = 7.3143 Å
α = 90.00°, β = 119.29°, γ = 90.00°
Space group C2/m (No. 12)
Symmetry-distinct sites (fractional):
Mn1 0.2199 0.0000 0.3209 [4 per cell]
Se1 0.0000 0.0000 0.5000 [2 per cell]
Br1 0.0000 0.5000 0.0000 [2 per cell]

Values from the calculation:
For the distance to the lowest polymorph of the same formula, the calculation gives 0 meV per atom. The uncorrected formation energy comes out at -0.199 eV/atom. The value obtained for the mass density is 4.997 Mg/m³.

Compound: MnSe4Br
Source: Alexandria
Functional: PBE-GGA
Structure: optimized geometry

a = 8.1230 Å, b = 8.1230 Å, c = 8.1230 Å
α = 90.00°, β = 90.00°, γ = 90.00°
Space group F-43m (No. 216)
Symmetry-distinct sites (fractional):
Mn1 0.0000 0.0000 0.0000 [4 per cell]
Se1 0.1252 0.1252 0.6252 [16 per cell]
Br1 0.2500 0.2500 0.2500 [4 per cell]

Values from the calculation:
The uncorrected formation energy comes out at 0.516 eV/atom. The value obtained for the mass density is 5.585 Mg/m³.

Compound: MnSeBr2
Source: Alexandria
Functional: PBE-GGA
Structure: optimized geometry

a = 3.6234 Å, b = 4.2822 Å, c = 6.2837 Å
α = 90.00°, β = 90.00°, γ = 90.00°
Space group Pmmm (No. 47)
Symmetry-distinct sites (fractional):
Mn1 0.0000 0.0000 0.0000 [1 per cell]
Se1 0.5000 0.0000 0.5000 [1 per cell]
Br1 0.0000 0.5000 0.5000 [1 per cell]
Br2 0.5000 0.5000 0.0000 [1 per cell]

Values from the calculation:
For the distance to the lowest polymorph of the same formula, the calculation gives 565 meV per atom. The uncorrected formation energy comes out at 0.171 eV/atom. The value obtained for the mass density is 5.002 Mg/m³.

Compound: MnSeBr2
Source: Alexandria
Functional: PBE-GGA
Structure: optimized geometry

a = 3.8350 Å, b = 3.8350 Å, c = 8.3224 Å
α = 90.00°, β = 90.00°, γ = 90.00°
Space group P4mm (No. 99)
Symmetry-distinct sites (fractional):
Mn1 0.0000 0.0000 0.0000 [1 per cell]
Se1 0.5000 0.5000 0.9258 [1 per cell]
Br1 0.0000 0.0000 0.2810 [1 per cell]
Br2 0.5000 0.5000 0.6402 [1 per cell]

Values from the calculation:
For the distance to the lowest polymorph of the same formula, the calculation gives 178 meV per atom. The uncorrected formation energy comes out at -0.216 eV/atom. The value obtained for the mass density is 3.984 Mg/m³.

Compound: Mn2SeBr
Source: Alexandria
Functional: PBE-GGA
Structure: optimized geometry

a = 3.8957 Å, b = 6.2796 Å, c = 7.3176 Å
α = 90.00°, β = 90.00°, γ = 90.00°
Space group Cmmm (No. 65)
Symmetry-distinct sites (fractional):
Mn1 0.0000 0.0000 0.2197 [4 per cell]
Se1 0.0000 0.5000 0.0000 [2 per cell]
Br1 0.0000 0.5000 0.5000 [2 per cell]

Values from the calculation:
For the distance to the lowest polymorph of the same formula, the calculation gives 254 meV per atom. The uncorrected formation energy comes out at 0.056 eV/atom. The value obtained for the mass density is 4.986 Mg/m³.

Compound: MnSeBr2
Source: Alexandria
Functional: PBE-GGA
Structure: optimized geometry

a = 3.2408 Å, b = 3.2408 Å, c = 11.2798 Å
α = 90.00°, β = 90.00°, γ = 90.00°
Space group P4/mmm (No. 123)
Symmetry-distinct sites (fractional):
Mn1 0.0000 0.0000 0.0000 [1 per cell]
Se1 0.0000 0.0000 0.5000 [1 per cell]
Br1 0.5000 0.5000 0.1473 [2 per cell]

Values from the calculation:
For the distance to the lowest polymorph of the same formula, the calculation gives 445 meV per atom. The uncorrected formation energy comes out at 0.051 eV/atom. The value obtained for the mass density is 4.117 Mg/m³.